(1)
# PBE SrNdCu4, optimized geometry
data_SrNdCu4
_chemical_formula_sum 'Sr4 Nd4 Cu16'
_cell_length_a 7.693
_cell_length_b 7.693
_cell_length_c 7.693
_cell_angle_alpha 90.00
_cell_angle_beta 90.00
_cell_angle_gamma 90.00
_space_group_name_H-M_alt 'F -4 3 m'
_space_group_IT_number 216
_space_group_name_Hall 'F -4 2 3'
loop_
_atom_site_label
_atom_site_type_symbol
_atom_site_fract_x
_atom_site_fract_y
_atom_site_fract_z
Sr1 Sr 0.000 0.000 0.000
Nd1 Nd 0.250 0.250 0.750
Cu1 Cu 0.125 0.125 0.375
# **DOS at the Fermi energy**: 5.71 states/eV/f.u.
# **Energy relative to the lowest polymorph listed for this composition**: 133 meV per atom
# **ΔH_f (0 K)**: 0.0136 eV per atom

=====

(2)
# PBE Rb2AuIBr6, optimized geometry
data_Rb2AuIBr6
_chemical_formula_sum 'Rb4 Au2 I2 Br12'
_cell_length_a 9.981
_cell_length_b 7.010
_cell_length_c 12.781
_cell_angle_alpha 90.00
_cell_angle_beta 116.45
_cell_angle_gamma 90.00
_space_group_name_H-M_alt 'P 1 21/c 1'
_space_group_IT_number 14
loop_
_space_group_symop_operation_xyz
'x,y,z'
'-x,-y,-z'
'-x,y+1/2,-z+1/2'
'x,-y+1/2,z+1/2'
loop_
_atom_site_label
_atom_site_type_symbol
_atom_site_fract_x
_atom_site_fract_y
_atom_site_fract_z
Rb1 Rb 0.249 0.038 0.270
Au1 Au 0.000 0.000 0.500
I1 I 0.500 0.000 0.000
Br1 Br 0.103 0.541 0.215
Br2 Br 0.154 0.727 0.493
Br3 Br 0.400 0.206 0.587
# **Energy relative to the lowest polymorph listed for this composition**: 0 meV per atom
# **Formation energy (no corrections)**: -820 meV per atom

=====

(3)
# PBE AlMoAs2, optimized geometry
data_AlMoAs2
_chemical_formula_sum 'Al1 Mo1 As2'
_cell_length_a 4.462
_cell_length_b 4.462
_cell_length_c 3.241
_cell_angle_alpha 90.00
_cell_angle_beta 90.00
_cell_angle_gamma 90.00
_space_group_name_H-M_alt 'P 4/m m m'
_space_group_IT_number 123
_space_group_name_Hall '-P 4 2'
loop_
_atom_site_label
_atom_site_type_symbol
_atom_site_fract_x
_atom_site_fract_y
_atom_site_fract_z
Al1 Al 0.000 0.000 0.000
Mo1 Mo 0.500 0.500 0.000
As1 As 0.000 0.500 0.500
# **DOS at the Fermi energy**: 2.28 states/eV/f.u.
# **ΔH_f (0 K)**: 0.1922 eV per atom

=====

(4)
# PBE Cr3CdC, optimized geometry
data_Cr3CdC
_chemical_formula_sum 'Cr3 Cd1 C1'
_cell_length_a 5.089
_cell_length_b 5.089
_cell_length_c 5.089
_cell_angle_alpha 90.00
_cell_angle_beta 90.00
_cell_angle_gamma 90.00
_space_group_name_H-M_alt 'P m -3 m'
_space_group_IT_number 221
_space_group_name_Hall '-P 4 2 3'
loop_
_atom_site_label
_atom_site_type_symbol
_atom_site_fract_x
_atom_site_fract_y
_atom_site_fract_z
Cr1 Cr 0.000 0.000 0.500
Cd1 Cd 0.000 0.000 0.000
C1 C 0.500 0.500 0.500
# **DOS at the Fermi energy**: 4.82 states/eV/f.u.
# **Energy relative to the lowest polymorph listed for this composition**: 2484 meV per atom
# **ΔH_f (0 K)**: 2.7837 eV per atom

=====

(5)
# PBE IrPb, optimized geometry
data_IrPb
_chemical_formula_sum 'Ir8 Pb8'
_cell_length_a 10.606
_cell_length_b 10.606
_cell_length_c 4.146
_cell_angle_alpha 90.00
_cell_angle_beta 90.00
_cell_angle_gamma 90.00
_space_group_name_H-M_alt 'P 4/m'
_space_group_IT_number 83
loop_
_space_group_symop_operation_xyz
'x,y,z'
'-x,-y,-z'
'-y,x,z'
'y,-x,-z'
'-x,-y,z'
'x,y,-z'
'y,-x,z'
'-y,x,-z'
loop_
_atom_site_label
_atom_site_type_symbol
_atom_site_fract_x
_atom_site_fract_y
_atom_site_fract_z
Ir1 Ir 0.025 0.380 0.000
Ir2 Ir 0.102 0.657 0.500
Pb1 Pb 0.154 0.259 0.500
Pb2 Pb 0.248 0.535 0.000
# **DOS at the Fermi energy**: 2.20 states/eV/f.u.
# **ΔH_f (0 K)**: 0.5337 eV per atom

=====

(6)
# PBE CdSbW, optimized geometry
data_CdSbW
_chemical_formula_sum 'Cd4 Sb4 W4'
_cell_length_a 3.302
_cell_length_b 4.904
_cell_length_c 17.515
_cell_angle_alpha 90.00
_cell_angle_beta 90.00
_cell_angle_gamma 90.00
_space_group_name_H-M_alt 'F m m 2'
_space_group_IT_number 42
_space_group_name_Hall 'F 2 -2'
loop_
_atom_site_label
_atom_site_type_symbol
_atom_site_fract_x
_atom_site_fract_y
_atom_site_fract_z
Cd1 Cd 0.000 0.000 0.000
Sb1 Sb 0.000 0.000 0.268
W1 W 0.000 0.000 0.640
# **DOS at the Fermi energy**: 2.05 states/eV/f.u.
# **Energy relative to the lowest polymorph listed for this composition**: 56 meV per atom
# **Formation energy (no corrections)**: 638 meV per atom

=====

(7)
# PBE ZnOsI2, optimized geometry
data_ZnOsI2
_chemical_formula_sum 'Zn4 Os4 I8'
_cell_length_a 7.022
_cell_length_b 7.022
_cell_length_c 7.022
_cell_angle_alpha 90.00
_cell_angle_beta 90.00
_cell_angle_gamma 90.00
_space_group_name_H-M_alt 'F m -3 m'
_space_group_IT_number 225
_space_group_name_Hall '-F 4 2 3'
loop_
_atom_site_label
_atom_site_type_symbol
_atom_site_fract_x
_atom_site_fract_y
_atom_site_fract_z
Zn1 Zn 0.000 0.000 0.000
Os1 Os 0.000 0.000 0.500
I1 I 0.250 0.250 0.250
# **DOS at the Fermi energy**: 2.57 states/eV/f.u.
# **Energy relative to the lowest polymorph listed for this composition**: 385 meV per atom
# **Formation energy (no corrections)**: 1239 meV per atom

=====

(8)
# PBE K2BeCo, optimized geometry
data_K2BeCo
_chemical_formula_sum 'K2 Be1 Co1'
_cell_length_a 6.320
_cell_length_b 6.320
_cell_length_c 2.769
_cell_angle_alpha 90.00
_cell_angle_beta 90.00
_cell_angle_gamma 90.00
_space_group_name_H-M_alt 'P 4/m m m'
_space_group_IT_number 123
_space_group_name_Hall '-P 4 2'
loop_
_atom_site_label
_atom_site_type_symbol
_atom_site_fract_x
_atom_site_fract_y
_atom_site_fract_z
K1 K 0.000 0.500 0.000
Be1 Be 0.000 0.000 0.500
Co1 Co 0.500 0.500 0.500
# **DOS at the Fermi energy**: 3.08 states/eV/f.u.
# **ΔH_f (0 K)**: 1.2539 eV per atom